Density functional theory data (GGA-PBE) for a relaxed structure of ReGe3Ir.

The structure in POSCAR format:
```
ReGe3Ir
1.0
-2.052 4.127 1.253
-0.003 -1.389 4.570
4.313 1.962 0.599
Ge Re Ir
3 1 1
Direct
0.000 0.000 0.500
0.500 0.000 0.000
0.000 0.500 0.000
0.000 0.000 0.000
0.500 0.500 0.500
```

Calculated values
E_tot	-5.969	eV per atom
ΔH_f (0 K)	1.06	eV per atom
calculated volume	109	Å³/f.u.
energy above the most stable polymorph in this dataset	0	meV per atom

Density functional theory data (GGA-PBE) for a relaxed structure of CrPbSeN2.

The structure in POSCAR format:
```
CrPbSeN2
1.0
-2.125 -3.240 -0.284
1.936 -0.987 -3.220
3.430 -2.498 2.829
Cr N Pb Se
1 2 1 1
Direct
0.000 0.000 0.000
0.000 0.500 0.000
0.500 0.000 0.000
0.500 0.500 0.500
0.000 0.000 0.500
```

Calculated values
E_tot	-6.204	eV per atom
calculated volume	77	Å³/f.u.
energy above the most stable polymorph in this dataset	0	meV per atom
E_form (uncorrected)	489	meV/atom

Density functional theory data (GGA-PBE) for a relaxed structure of Rb2HgSe2.

The structure in POSCAR format:
```
Rb2HgSe2
1.0
6.773 0.000 0.000
0.000 6.773 0.000
3.387 3.387 4.315
Se Hg Rb
2 1 2
Direct
0.644 0.644 0.711
0.356 0.356 0.289
0.000 0.000 0.000
0.750 0.250 0.500
0.250 0.750 0.500
```

Calculated values
E_tot	-2.528	eV per atom
calculated volume	198	Å³/f.u.
E_form (uncorrected)	-686	meV/atom

Density functional theory data (GGA-PBE) for a relaxed structure of TbSm5Ho5.

The structure in POSCAR format:
```
TbSm5Ho5
1.0
6.084 0.000 0.000
-3.042 5.269 0.000
0.000 0.000 11.688
Sm Ho Tb
5 5 1
Direct
0.667 0.333 0.846
0.000 0.000 0.000
0.333 0.667 0.683
0.333 0.667 0.317
0.667 0.333 0.154
0.334 0.167 0.500
0.833 0.167 0.500
0.000 0.000 0.266
0.000 0.000 0.734
0.833 0.666 0.500
0.333 0.667 0.000
```

Calculated values
E_tot	-4.342	eV per atom
ΔH_f (0 K)	0.31	eV per atom
calculated volume	375	Å³/f.u.

Density functional theory data (GGA-PBE) for a relaxed structure of RbInGeTe3.

The structure in POSCAR format:
```
RbInGeTe3
1.0
-2.824 2.216 2.817
-6.449 -7.082 -0.893
7.152 -1.947 8.702
Rb Te In Ge
2 6 2 2
Direct
0.250 0.235 0.232
0.750 0.765 0.768
0.250 0.517 0.850
0.750 0.483 0.150
0.250 0.094 0.880
0.250 0.789 0.452
0.750 0.906 0.120
0.750 0.211 0.548
0.250 0.098 0.643
0.750 0.902 0.357
0.750 0.339 0.894
0.250 0.661 0.106
```

Calculated values
E_tot	-3.388	eV per atom
calculated volume	234	Å³/f.u.
E_form (uncorrected)	-430	meV/atom

Density functional theory data (GGA-PBE) for a relaxed structure of Zr2Ta.

The structure in POSCAR format:
```
Zr2Ta
1.0
4.933 2.989 5.175
-5.825 0.417 -5.094
-3.160 -0.912 3.538
Zr Ta
4 2
Direct
0.605 0.395 0.250
0.925 0.075 0.250
0.075 0.925 0.750
0.395 0.605 0.750
0.738 0.262 0.750
0.262 0.738 0.250
```

Calculated values
E_tot	-9.533	eV per atom
ΔH_f (0 K)	0.12	eV per atom
calculated volume	64	Å³/f.u.

Question: Which value of calculated volume does entry 5 give?
Answer: 234 Å³/f.u.

Question: What is the formula in the third record?
Answer: Rb2HgSe2